Record 1
An optimized crystal structure of ReHg2Sb. Source: Alexandria, functional GGA-PBE.

Properties
The calculation puts the calculated volume at 20.8 Å³ per atom. The density comes out at 14.18 g/cm³. The calculation puts the formation energy from raw total energies at 0.96 eV/atom. Its space-group type is No. 216. As for the density of states at the Fermi level: 4.484 states/eV/cell. For the raw total energy, the calculation gives -13.32 eV for the cell shown.

extended XYZ file:
```
4
Lattice="4.8977 0.0000 0.0000 2.4488 4.2415 0.0000 2.4488 1.4138 3.9989" Properties=species:S:1:pos:R:3 pbc="T T T"
Hg 0.0000 0.0000 0.0000
Hg 2.4488 1.4138 0.9997
Re 4.8977 2.8277 1.9995
Sb 7.3465 4.2415 2.9992
```

Record 2
An optimized crystal structure of TiIrN2O. Source: Alexandria, functional GGA-PBE.

Properties
The calculation puts the calculated volume at 11.6 Å³ per atom. The density comes out at 8.13 g/cm³. The calculation puts the formation energy from raw total energies at 0.49 eV/atom. Its space-group type is No. 123. As for the density of states at the Fermi level: 3.701 states/eV/cell. For the raw total energy, the calculation gives -35.90 eV for the cell shown.

extended XYZ file:
```
5
Lattice="3.9634 0.0000 0.0000 0.0000 3.9634 0.0000 0.0000 0.0000 3.6959" Properties=species:S:1:pos:R:3 pbc="T T T"
N 0.0000 1.9817 0.0000
N 1.9817 0.0000 0.0000
Ir 1.9817 1.9817 1.8480
O 0.0000 0.0000 1.8480
Ti 0.0000 0.0000 0.0000
```

Record 3
An optimized crystal structure of TaP2Br. Source: Alexandria, functional GGA-PBE.

Properties
For the energy above the most stable polymorph in this dataset, the calculation gives 85 kJ/mol of formula units. The calculation puts the calculated volume at 18.4 Å³ per atom. The density comes out at 7.27 g/cm³. The calculation puts the formation energy from raw total energies at -0.14 eV/atom. Its space-group type is No. 123. As for the density of states at the Fermi level: 2.604 states/eV/cell. For the raw total energy, the calculation gives -24.91 eV for the cell shown.

extended XYZ file:
```
4
Lattice="3.3668 0.0000 0.0000 0.0000 3.3668 0.0000 0.0000 0.0000 6.5071" Properties=species:S:1:pos:R:3 pbc="T T T"
Br 1.6834 1.6834 4.8803
P 0.0000 0.0000 0.4609
P 0.0000 0.0000 2.7927
Ta 1.6834 1.6834 1.6268
```

Record 4
An optimized crystal structure of SbOs4Ru. Source: Alexandria, functional GGA-PBE.

Properties
The calculation puts the calculated volume at 16.6 Å³ per atom. The density comes out at 16.44 g/cm³. The calculation puts the formation energy from raw total energies at 0.99 eV/atom. Its space-group type is No. 216. As for the density of states at the Fermi level: 10.475 states/eV/cell. For the raw total energy, the calculation gives -52.40 eV for the cell shown.

extended XYZ file:
```
6
Lattice="2.8948 -4.1713 1.1166 -1.6226 -3.4089 3.5739 -1.5892 -4.7316 -1.4536" Properties=species:S:1:pos:R:3 pbc="T T T"
Sb 0.0000 0.0000 0.0000
Os 1.3139 -6.6971 1.7706
Os -0.9060 -6.9745 0.4982
Os -0.9225 -6.3198 2.9871
Os -0.1192 -4.6321 1.2178
Ru -0.2377 -9.2338 2.4277
```

Record 5
An optimized crystal structure of CsNp2AgI8. Source: Alexandria, functional GGA-PBE.

Properties
The calculation puts the calculated volume at 53.9 Å³ per atom. The density comes out at 4.44 g/cm³. The calculation puts the formation energy from raw total energies at -0.84 eV/atom. Its space-group type is No. 2. As for the density of states at the Fermi level: 9.452 states/eV/cell. For the raw total energy, the calculation gives -52.06 eV for the cell shown.

extended XYZ file:
```
12
Lattice="-2.5781 -7.7659 2.3981 0.4871 -6.9039 -6.3240 7.8618 -2.9892 3.9582" Properties=species:S:1:pos:R:3 pbc="T T T"
Cs 3.9309 -1.4946 1.9791
Np 4.8937 -9.7724 0.8820
Np 0.8771 -7.8866 -0.8497
Ag 0.0000 0.0000 0.0000
I 2.3823 -5.8921 -2.4963
I -0.6956 -8.9623 -3.3314
I -0.9176 -9.5168 1.2433
I 3.3885 -11.7669 2.5285
I 6.4664 -8.6968 3.3636
I 6.6883 -8.1422 -1.2110
I 2.7691 -10.3597 -1.3985
I 3.0017 -7.2993 1.4307
```

Record 6
An optimized crystal structure of Pr3Zn8Hg3. Source: Alexandria, functional GGA-PBE.

Properties
The value obtained for the formation energy is -0.32 eV per atom. The calculation puts the calculated volume at 20.8 Å³ per atom. The density comes out at 8.81 g/cm³. Its space-group type is No. 71. As for the density of states at the Fermi level: 6.018 states/eV/cell. For the raw total energy, the calculation gives -29.85 eV for the cell shown.

extended XYZ file:
```
14
Lattice="-2.3958 3.3712 -1.9660 -8.0337 -3.0165 -0.7158 -5.4855 2.7381 6.0468" Properties=species:S:1:pos:R:3 pbc="T T T"
Pr -7.9575 1.5465 1.6825
Pr -4.5890 2.6517 -0.5272
Pr -11.3260 0.4413 3.8923
Zn -5.6154 3.6302 2.4015
Zn -10.2996 -0.5373 0.9635
Zn -6.9782 0.5525 -1.2153
Zn -8.9367 2.5405 4.5804
Zn -11.3742 1.8476 1.0294
Zn -4.5407 1.2453 2.3356
Zn -10.6940 3.3837 2.8346
Zn -5.2209 -0.2908 0.5304
Hg -1.1979 1.6856 -0.9830
Hg -7.4745 -1.7535 0.7684
Hg -6.0447 1.4752 4.5627
```

Record 7
An optimized crystal structure of ZrInNiRh. Source: Alexandria, functional GGA-PBE.

Properties
The value obtained for the formation energy is -0.54 eV per atom. The calculation puts the calculated volume at 16.8 Å³ per atom. The density comes out at 9.09 g/cm³. Its space-group type is No. 216. As for the density of states at the Fermi level: 3.733 states/eV/cell. For the raw total energy, the calculation gives -26.56 eV for the cell shown.

extended XYZ file:
```
4
Lattice="4.5630 0.0000 0.0000 2.2815 3.9516 0.0000 2.2815 1.3172 3.7256" Properties=species:S:1:pos:R:3 pbc="T T T"
Ni 2.2815 1.3172 0.9314
Rh 6.8445 3.9516 2.7942
Zr 0.0000 0.0000 0.0000
In 4.5630 2.6344 1.8628
```

Record 8
An optimized crystal structure of LaRh3. Source: Alexandria, functional GGA-PBE.

Properties
The value obtained for the formation energy is 0.25 eV per atom. The calculation puts the calculated volume at 17.4 Å³ per atom. The density comes out at 10.67 g/cm³. Its space-group type is No. 187. As for the density of states at the Fermi level: 8.154 states/eV/cell. For the raw total energy, the calculation gives -25.97 eV for the cell shown.

extended XYZ file:
```
4
Lattice="-1.9903 2.0748 0.4933 -0.6998 -2.8085 0.3636 2.7433 0.4852 9.0285" Properties=species:S:1:pos:R:3 pbc="T T T"
La 0.0000 0.0000 0.0000
Rh 1.3717 0.2426 4.5143
Rh -0.3697 -1.0462 2.9091
Rh 0.8530 -0.8300 6.9330
```

Record 9
An optimized crystal structure of LaPrHoCd. Source: Alexandria, functional GGA-PBE.

Properties
The value obtained for the formation energy is -0.06 eV per atom. For the energy above the most stable polymorph in this dataset, the calculation gives 36 kJ/mol of formula units. The calculation puts the calculated volume at 31.3 Å³ per atom. The density comes out at 7.39 g/cm³. Its space-group type is No. 216. As for the density of states at the Fermi level: 5.725 states/eV/cell. For the raw total energy, the calculation gives -15.43 eV for the cell shown.

extended XYZ file:
```
4
Lattice="5.6162 0.0000 0.0000 2.8081 4.8637 0.0000 2.8081 1.6212 4.5856" Properties=species:S:1:pos:R:3 pbc="T T T"
Pr 0.0000 0.0000 0.0000
Cd 8.4242 4.8637 3.4392
Ho 2.8081 1.6212 1.1464
La 5.6162 3.2425 2.2928
```

Record 10
An optimized crystal structure of CeCrC. Source: Alexandria, functional GGA-PBE.

Properties
The value obtained for the formation energy is 0.12 eV per atom. For the energy above the most stable polymorph in this dataset, the calculation gives 3 kJ/mol of formula units. The calculation puts the calculated volume at 14.7 Å³ per atom. The density comes out at 7.70 g/cm³. Its space-group type is No. 187. As for the density of states at the Fermi level: 3.943 states/eV/cell. For the raw total energy, the calculation gives -24.42 eV for the cell shown.

extended XYZ file:
```
3
Lattice="-0.2845 -3.5900 -2.2252 1.5381 -1.7229 2.5829 -3.4503 0.3116 -0.0615" Properties=species:S:1:pos:R:3 pbc="T T T"
Cr -1.8349 -0.9649 0.4491
C -0.0473 -0.5975 -0.3703
Ce -0.3144 -3.4389 0.2174
```